Record 1
This record from OQMD via LeMat-Bulk describes a relaxed structure of AcPrW. The functional is PBE.

Formation enthalpy at 0 K   2.54 eV per formula unit

abc: 5.1153 5.1153 5.1153
angles: 60.00 60.00 60.00
Closest atoms and distances in Å follow each position.
Element x y z (fractional)
Ac 0.0000 0.0000 0.0000  4 W 3.13
Pr 0.5000 0.5000 0.5000  4 W 3.13
W 0.7500 0.7500 0.7500  4 Ac 3.13, 4 Pr 3.13


Record 2
This record from OQMD via LeMat-Bulk describes a relaxed structure of Ac5Pt2. The functional is PBE.

Formation enthalpy at 0 K   -4.94 eV per formula unit

abc: 9.9219 9.9219 7.7421
angles: 96.72 96.72 41.58
Closest atoms and distances in Å follow each position.
Element x y z (fractional)
Ac 0.0732 0.9268 0.7500  4 Pt 3.15-3.18
Ac 0.1352 0.2905 0.3121  2 Pt 3.08-3.10
Ac 0.2905 0.1352 0.8121  2 Pt 3.08-3.10
Ac 0.3121 0.4935 0.0824  2 Pt 3.07-3.10
Ac 0.4935 0.3121 0.5824  2 Pt 3.07-3.10
Ac 0.5065 0.6879 0.4176  2 Pt 3.07-3.10
Ac 0.6879 0.5065 0.9176  2 Pt 3.07-3.10
Ac 0.7095 0.8648 0.1879  2 Pt 3.08-3.10
Ac 0.8648 0.7095 0.6879  2 Pt 3.08-3.10
Ac 0.9268 0.0732 0.2500  4 Pt 3.15-3.18
Pt 0.0782 0.7021 0.4186  6 Ac 3.07-3.18
Pt 0.2979 0.9218 0.0814  6 Ac 3.07-3.18
Pt 0.7021 0.0782 0.9186  6 Ac 3.07-3.18
Pt 0.9218 0.2979 0.5814  6 Ac 3.07-3.18


Record 3
This record from OQMD via LeMat-Bulk describes a relaxed structure of AcRePt. The functional is PBE.

Formation enthalpy at 0 K   1.85 eV per formula unit

abc: 4.6839 4.6839 4.6839
angles: 60.00 60.00 60.00
Closest atoms and distances in Å follow each position.
Element x y z (fractional)
Ac 0.0000 0.0000 0.0000  4 Re 2.87
Re 0.7500 0.7500 0.7500  4 Pt 2.87, 4 Ac 2.87
Pt 0.5000 0.5000 0.5000  4 Re 2.87


Record 4
This record from OQMD via LeMat-Bulk describes a relaxed structure of AcSbPt. The functional is PBE.

Uncorrected energy   -14.96 eV per cell

abc: 5.2044 5.2044 5.2044
angles: 60.00 60.00 60.00
Closest atoms and distances in Å follow each position.
Element x y z (fractional)
Ac 0.0000 0.0000 0.0000  4 Sb 3.19, 4 Pt 3.19
Sb 0.2500 0.2500 0.2500  4 Ac 3.19
Pt 0.7500 0.7500 0.7500  4 Ac 3.19


Record 5
This record from OQMD via LeMat-Bulk describes a relaxed structure of AcSbPt. The functional is PBE.

Uncorrected energy   -17.75 eV per cell

abc: 4.4074 4.6428 4.6428
angles: 60.14 90.00 90.00
Closest atoms and distances in Å follow each position.
Element x y z (fractional)
Ac 0.0000 0.0000 0.0000  6 Pt 3.46-3.48, 6 Sb 3.47
Sb 0.5000 0.3341 0.3341  3 Pt 2.68
Pt 0.5000 0.6680 0.6680  3 Sb 2.68


Record 6
This record from OQMD via LeMat-Bulk describes a relaxed structure of AcSbPt. The functional is PBE.

Uncorrected energy   -15.88 eV per cell

abc: 5.0457 5.0457 5.0457
angles: 60.00 60.00 60.00
Closest atoms and distances in Å follow each position.
Element x y z (fractional)
Ac 0.0000 0.0000 0.0000  4 Sb 3.09
Sb 0.2500 0.2500 0.2500  4 Ac 3.09, 4 Pt 3.09
Pt 0.5000 0.5000 0.5000  4 Sb 3.09


Record 7
This record from OQMD via LeMat-Bulk describes a relaxed structure of AcScPt. The functional is PBE.

Formation enthalpy at 0 K   -0.47 eV per formula unit

abc: 4.7737 4.7737 4.7737
angles: 60.00 60.00 60.00
Closest atoms and distances in Å follow each position.
Element x y z (fractional)
Ac 0.0000 0.0000 0.0000  4 Sc 2.92
Sc 0.2500 0.2500 0.2500  4 Pt 2.92, 4 Ac 2.92
Pt 0.5000 0.5000 0.5000  4 Sc 2.92


Record 8
This record from OQMD via LeMat-Bulk describes a relaxed structure of Ac2SiPt5. The functional is PBE.

Uncorrected energy   -51.94 eV per cell

abc: 6.5333 6.5333 6.5333
angles: 124.48 124.48 82.41
Closest atoms and distances in Å follow each position.
Element x y z (fractional)
Ac 0.0000 0.5000 0.5000  10 Pt 3.10-3.30
Ac 0.5000 0.0000 0.5000  10 Pt 3.10-3.30
Si 0.3209 0.3209 0.0000  5 Pt 2.35-2.38
Pt 0.5186 0.5186 0.5301  1 Si 2.38
Pt 0.5186 0.9885 0.0000  1 Si 2.38
Pt 0.5602 0.5602 0.0000  1 Si 2.35
Pt 0.9885 0.5186 0.0000  1 Si 2.38
Pt 0.9885 0.9885 0.4699  1 Si 2.38